Crystalline Sr2MoW at its relaxed geometry. Source: the Alexandria database, functional GGA-PBEsol.

Cell: 3.9831 4.0215 6.0974 Å, 109.25 109.06 90.00°
Closest atoms and distances in Å follow each position.
Element x y z (fractional)
Mo 0.5000 0.0000 0.0000  4 W 2.83
Sr 0.7510 0.7510 0.5019  4 Sr 2.83
Sr 0.2490 0.2490 0.4981  4 Sr 2.83
W 0.0000 0.5000 0.0000  4 Mo 2.83

Summary:
electronic total energy = -5.998 eV/atom
V = 21.6 Å³ per atom
energy above the lowest structure with this stoichiometry = 45.2 kJ/mol of atoms
symmetry = Immm
size of the total moment = 0.00 μB/f.u.

Crystalline SrY2Mo at its relaxed geometry. Source: the Alexandria database, functional GGA-PBEsol.

Cell: 3.2952 5.2773 7.1211 Å, 93.75 90.00 108.19°
Closest atoms and distances in Å follow each position.
Element x y z (fractional)
Mo 0.4966 0.9931 0.4134  5 Y 2.79-3.00
Sr 0.2415 0.4831 0.7245  2 Sr 3.30, 3 Y 3.46-3.49, 3 Mo 3.50-3.59
Y 0.0047 0.0094 0.0623  2 Mo 3.00, 3 Y 3.10-3.30
Y 0.7572 0.5144 0.2998  3 Mo 2.79-2.98, 1 Y 3.10

Summary:
electronic total energy = -6.173 eV/atom
V = 29.3 Å³ per atom
energy above the lowest structure with this stoichiometry = 4.0 kJ/mol of atoms
symmetry = Cm
size of the total moment = 0.00 μB/f.u.

Crystalline SrYMo2 at its relaxed geometry. Source: the Alexandria database, functional GGA-PBEsol.

Cell: 2.8639 2.8639 10.2611 Å, 90.00 90.00 90.34°
Closest atoms and distances in Å follow each position.
Element x y z (fractional)
Mo 0.0000 0.0000 0.2361  4 Mo 2.86, 4 Y 3.15-3.16
Mo 0.0000 0.0000 0.7639  4 Mo 2.86, 4 Y 3.15-3.16
Sr 0.5000 0.5000 0.5000  4 Sr 2.86
Y 0.5000 0.5000 0.0000  4 Y 2.86, 8 Mo 3.15-3.16

Summary:
electronic total energy = -7.107 eV/atom
V = 21.0 Å³ per atom
energy above the lowest structure with this stoichiometry = 0.0 kJ/mol of atoms
symmetry = Cmmm
size of the total moment = 0.00 μB/f.u.

Crystalline SrYMo2 at its relaxed geometry. Source: the Alexandria database, functional GGA-PBEsol.

Cell: 3.0705 3.0705 10.5751 Å, 81.65 81.65 60.00°
Closest atoms and distances in Å follow each position.
Element x y z (fractional)
Mo 0.2538 0.2538 0.2387  3 Y 3.06, 6 Mo 3.07, 3 Sr 3.25
Mo 0.7462 0.7462 0.7613  3 Y 3.06, 6 Mo 3.07, 3 Sr 3.25
Sr 0.5000 0.5000 0.5000  6 Sr 3.07, 6 Mo 3.25
Y 0.0000 0.0000 0.0000  6 Mo 3.06, 6 Y 3.07

Summary:
electronic total energy = -6.947 eV/atom
V = 21.3 Å³ per atom
energy above the lowest structure with this stoichiometry = 15.4 kJ/mol of atoms
symmetry = R-3m
size of the total moment = 0.00 μB/f.u.

Crystalline SrY2Mo at its relaxed geometry. Source: the Alexandria database, functional GGA-PBEsol.

Cell: 4.7174 4.7174 5.7824 Å, 114.07 114.07 90.00°
Closest atoms and distances in Å follow each position.
Element x y z (fractional)
Mo 0.5000 0.5000 0.0000  8 Y 3.34, 4 Sr 3.34
Sr 0.2500 0.7500 0.5000  8 Y 3.34, 4 Mo 3.34
Y 0.0000 0.0000 0.0000  4 Mo 3.34, 4 Sr 3.34, 4 Y 3.34
Y 0.7500 0.2500 0.5000  4 Sr 3.34, 4 Y 3.34, 4 Mo 3.34

Summary:
electronic total energy = -6.112 eV/atom
V = 26.3 Å³ per atom
energy above the lowest structure with this stoichiometry = 9.8 kJ/mol of atoms
symmetry = I-4m2
size of the total moment = 0.00 μB/f.u.

Crystalline SrY2Mo at its relaxed geometry. Source: the Alexandria database, functional GGA-PBEsol.

Cell: 3.4064 5.1124 6.9040 Å, 90.00 104.26 90.00°
Closest atoms and distances in Å follow each position.
Element x y z (fractional)
Mo 0.6562 0.0000 0.4364  4 Y 2.77-2.99
Sr 0.2959 0.5000 0.7182  2 Sr 3.41, 3 Y 3.41-3.73, 4 Mo 3.60-3.61
Y 0.9727 0.0000 0.0694  2 Mo 2.99
Y 0.5752 0.5000 0.2760  2 Mo 2.77

Summary:
electronic total energy = -6.214 eV/atom
V = 29.1 Å³ per atom
energy above the lowest structure with this stoichiometry = 0.0 kJ/mol of atoms
symmetry = Amm2
size of the total moment = 0.01 μB/f.u.

Crystalline SrZrMo at its relaxed geometry. Source: the Alexandria database, functional GGA-PBEsol.

Cell: 4.7594 4.7594 4.7594 Å, 60.00 60.00 60.00°
Closest atoms and distances in Å follow each position.
Element x y z (fractional)
Mo 0.2500 0.2500 0.2500  4 Sr 2.91, 4 Zr 2.91
Sr 0.0000 0.0000 0.0000  4 Mo 2.91
Zr 0.5000 0.5000 0.5000  4 Mo 2.91

Summary:
electronic total energy = -6.361 eV/atom
V = 25.4 Å³ per atom
energy above the lowest structure with this stoichiometry = 64.4 kJ/mol of atoms
symmetry = F-43m
size of the total moment = 0.00 μB/f.u.

Crystalline Sr2ZrMo at its relaxed geometry. Source: the Alexandria database, functional GGA-PBEsol.

Cell: 3.3292 4.2094 9.7479 Å, 102.47 99.83 90.00°
Closest atoms and distances in Å follow each position.
Element x y z (fractional)
Mo 0.0000 0.5000 0.0000  4 Zr 2.68
Sr 0.6571 0.6571 0.3142  2 Sr 3.33, 2 Mo 3.38, 2 Zr 3.62
Sr 0.3429 0.3429 0.6858  2 Sr 3.33, 2 Mo 3.38, 2 Zr 3.62
Zr 0.5000 0.0000 0.0000  4 Mo 2.68

Summary:
electronic total energy = -5.536 eV/atom
V = 32.8 Å³ per atom
energy above the lowest structure with this stoichiometry = 16.7 kJ/mol of atoms
symmetry = Immm
size of the total moment = 0.00 μB/f.u.

Crystalline Sr2ZrMo at its relaxed geometry. Source: the Alexandria database, functional GGA-PBEsol.

Cell: 3.6043 3.6043 9.2937 Å, 90.00 90.00 90.00°
Closest atoms and distances in Å follow each position.
Element x y z (fractional)
Mo 0.5000 0.5000 0.6851  4 Zr 2.74
Sr 0.0000 0.0000 0.9314  1 Zr 3.31, 4 Mo 3.43, 4 Sr 3.60
Sr 0.5000 0.5000 0.3077  1 Mo 3.51, 4 Zr 3.56, 4 Sr 3.60
Zr 0.0000 0.0000 0.5757  4 Mo 2.74

Summary:
electronic total energy = -5.709 eV/atom
V = 30.2 Å³ per atom
energy above the lowest structure with this stoichiometry = 0.0 kJ/mol of atoms
symmetry = P4mm
size of the total moment = 0.00 μB/f.u.

Crystalline Sr2ZrMo at its relaxed geometry. Source: the Alexandria database, functional GGA-PBEsol.

Cell: 5.4845 4.2813 4.2813 Å, 90.00 90.00 90.00°
Closest atoms and distances in Å follow each position.
Element x y z (fractional)
Mo 0.5000 0.0000 0.0000  4 Zr 3.03
Sr 0.0000 0.0000 0.5000  4 Sr 3.03
Sr 0.0000 0.5000 0.0000  4 Sr 3.03
Zr 0.5000 0.5000 0.5000  4 Mo 3.03

Summary:
electronic total energy = -5.156 eV/atom
V = 25.1 Å³ per atom
energy above the lowest structure with this stoichiometry = 53.4 kJ/mol of atoms
symmetry = P4/mmm
size of the total moment = 0.00 μB/f.u.

Crystalline SrZrMo at its relaxed geometry. Source: the Alexandria database, functional GGA-PBEsol.

Cell: 3.5211 3.5211 6.5489 Å, 105.60 105.60 90.00°
Closest atoms and distances in Å follow each position.
Element x y z (fractional)
Mo 0.9652 0.9652 0.9304  4 Zr 2.70
Sr 0.6566 0.6566 0.3133  5 Zr 3.37-3.66, 5 Mo 3.40-3.74, 4 Sr 3.52
Zr 0.3782 0.3782 0.7563  4 Mo 2.70

Summary:
electronic total energy = -7.028 eV/atom
V = 25.0 Å³ per atom
energy above the lowest structure with this stoichiometry = 0.0 kJ/mol of atoms
symmetry = I4mm
size of the total moment = 0.00 μB/f.u.

Crystalline SrZrMo2 at its relaxed geometry. Source: the Alexandria database, functional GGA-PBEsol.

Cell: 4.0289 4.0289 5.6458 Å, 110.90 110.90 90.00°
Closest atoms and distances in Å follow each position.
Element x y z (fractional)
Mo 0.7500 0.2500 0.5000  4 Mo 2.85, 4 Sr 3.16, 4 Zr 3.16
Mo 0.2500 0.7500 0.5000  4 Mo 2.85, 4 Zr 3.16, 4 Sr 3.16
Sr 0.5000 0.5000 0.0000  4 Zr 2.85, 8 Mo 3.16
Zr 0.0000 0.0000 0.0000  4 Sr 2.85, 8 Mo 3.16

Summary:
electronic total energy = -7.525 eV/atom
V = 19.8 Å³ per atom
energy above the lowest structure with this stoichiometry = 16.2 kJ/mol of atoms
symmetry = I4/mmm
size of the total moment = 0.00 μB/f.u.